! ThTl3Cl8 PBE relaxed; values from VASP
&SYSTEM
  ibrav = 0, nat = 12, ntyp = 3
/
ATOMIC_SPECIES
Th 232.04 Th.upf
Tl 204.38 Tl.upf
Cl 35.45 Cl.upf
ATOMIC_POSITIONS angstrom
Th 0.0000 0.0000 0.0000
Tl 3.6024 0.0000 3.7487
Tl 0.0000 0.0000 7.4974
Tl 0.0000 3.6024 3.7487
Cl 2.2443 -2.2443 5.5392
Cl 1.8732 1.8732 -1.3457
Cl 1.3581 1.3581 1.9582
Cl 1.7292 -1.7292 8.8431
Cl 1.7292 1.7292 6.1517
Cl -2.2443 2.2443 5.5392
Cl -1.7292 1.7292 8.8431
Cl 2.2443 2.2443 9.4556
CELL_PARAMETERS angstrom
-3.6024 3.6024 7.4974
3.6024 -3.6024 7.4974
3.6024 3.6024 -7.4974
! space group: No. 121
! formation energy without anion corrections: -135 kJ/mol of atoms
! V: 32.4 Å³ per atom

! ThTl3Cl7 PBE relaxed; values from VASP
&SYSTEM
  ibrav = 0, nat = 11, ntyp = 3
/
ATOMIC_SPECIES
Th 232.04 Th.upf
Tl 204.38 Tl.upf
Cl 35.45 Cl.upf
ATOMIC_POSITIONS angstrom
Th 0.0000 0.0000 0.0000
Tl 2.6521 2.6876 3.2521
Tl 0.4681 0.0000 6.9276
Tl 2.6521 -2.6876 3.2521
Cl -2.3056 0.0000 5.4034
Cl 2.4008 0.0000 1.5547
Cl 5.3489 2.7064 1.5299
Cl 5.4327 1.8453 5.4018
Cl 8.1742 0.0000 1.0255
Cl 5.3489 -2.7064 1.5299
Cl 5.4327 -1.8453 5.4018
CELL_PARAMETERS angstrom
5.3712 -5.0426 0.0000
5.3712 5.0426 0.0000
-4.4281 0.0000 7.2004
! space group: No. 8
! formation energy without anion corrections: -152 kJ/mol of atoms
! V: 35.5 Å³ per atom